[1]
Cs2NaSi2: relaxed, PBE-GGA.

a b c (Å): 8.659 8.659 5.661
angles (deg): 90.00 90.00 90.00
Sites, in units of the cell vectors:
Cs 0.801 0.301 0.500
Cs 0.699 0.801 0.500
Si 0.411 0.911 0.000
Cs 0.199 0.699 0.500
Na 0.000 0.000 0.000
Si 0.911 0.589 0.000
Cs 0.301 0.199 0.500
Si 0.089 0.411 0.000
Si 0.589 0.089 0.000
Na 0.500 0.500 0.000

## Properties
- Electronic total energy: -2.565 eV per atom
- Formation energy (no corrections): 209.3 meV/atom



[2]
UGaTc2: relaxed, PBE-GGA.

a b c (Å): 4.704 4.704 4.598
angles (deg): 59.24 59.24 60.00
Sites, in units of the cell vectors:
U 0.000 0.000 0.000
Tc 0.787 0.787 0.639
Tc 0.213 0.213 0.361
Ga 0.500 0.500 0.500

## Properties
- Energy above the lowest structure with this stoichiometry: 104 meV/atom
- Electronic total energy: -8.975 eV per atom



[3]
CdCNCl2: relaxed, PBE-GGA.

a b c (Å): 4.449 4.533 4.449
angles (deg): 90.00 90.00 90.00
Sites, in units of the cell vectors:
Cd 0.000 0.500 0.000
Cl 0.000 0.000 0.500
N 0.000 0.000 0.000
C 0.500 0.500 0.500
Cl 0.500 0.000 0.000

## Properties
- Electronic total energy: -2.531 eV per atom
- Formation energy (no corrections): 1900.8 meV/atom



[4]
HfScOs2: relaxed, PBE-GGA.

a b c (Å): 3.238 3.238 6.463
angles (deg): 90.00 90.00 90.00
Sites, in units of the cell vectors:
Os 0.000 0.000 0.247
Sc 0.500 0.500 0.500
Os 0.000 0.000 0.753
Hf 0.500 0.500 0.000

## Properties
- Energy above the lowest structure with this stoichiometry: 0 meV/atom
- Electronic total energy: -10.246 eV per atom



[5]
La6Sb2Te3Br: relaxed, PBE-GGA.

a b c (Å): 4.575 9.124 10.215
angles (deg): 103.18 102.94 90.00
Sites, in units of the cell vectors:
La 0.331 0.420 0.662
Te 0.167 0.833 0.333
La 0.669 0.580 0.338
Sb 0.835 0.670 0.671
La 0.668 0.087 0.336
Sb 0.165 0.330 0.329
Br 0.500 0.000 0.000
La 0.332 0.913 0.664
La 0.999 0.746 0.999
La 0.001 0.254 0.001
Te 0.500 0.500 0.000
Te 0.833 0.167 0.667

## Properties
- Electronic total energy: -5.536 eV per atom
- Formation energy (no corrections): -1460.1 meV/atom



[6]
DyTlAgCl5: relaxed, PBE-GGA.

a b c (Å): 7.634 7.634 10.155
angles (deg): 102.37 102.37 109.78
Sites, in units of the cell vectors:
Cl 0.256 0.364 0.566
Cl 0.911 0.301 0.091
Cl 0.068 0.932 0.250
Ag 0.691 0.309 0.250
Tl 0.347 0.653 0.250
Cl 0.301 0.911 0.591
Cl 0.636 0.744 0.934
Cl 0.364 0.256 0.066
Cl 0.699 0.089 0.409
Dy 0.000 0.000 0.500
Dy 0.000 0.000 0.000
Cl 0.932 0.068 0.750
Cl 0.089 0.699 0.909
Cl 0.744 0.636 0.434
Ag 0.309 0.691 0.750
Tl 0.653 0.347 0.750

## Properties
- Electronic total energy: -3.899 eV per atom
- Formation energy (no corrections): -1517.1 meV/atom



[7]
SrPr4Nd7: relaxed, PBE-GGA.

a b c (Å): 7.520 11.963 6.499
angles (deg): 79.60 89.98 50.93
Sites, in units of the cell vectors:
Pr 0.172 0.328 0.219
Nd 0.657 0.343 0.230
Nd 0.079 0.664 0.283
Nd 0.921 0.336 0.717
Nd 0.257 0.000 0.500
Sr 0.000 0.000 0.000
Pr 0.407 0.336 0.716
Pr 0.593 0.664 0.284
Nd 0.500 0.000 0.000
Nd 0.343 0.657 0.770
Nd 0.743 0.000 0.500
Pr 0.828 0.672 0.781

## Properties
- Electronic total energy: -4.467 eV per atom



[8]
DyThSbTe: relaxed, PBE-GGA.

a b c (Å): 5.402 5.402 5.402
angles (deg): 60.00 60.00 60.00
Sites, in units of the cell vectors:
Dy 0.750 0.750 0.750
Te 0.000 0.000 0.000
Sb 0.500 0.500 0.500
Th 0.250 0.250 0.250

## Properties
- Energy above the lowest structure with this stoichiometry: 102 meV/atom
- Electronic total energy: -5.800 eV per atom
- Formation energy (no corrections): -978.9 meV/atom



[9]
CuBrO2: relaxed, PBE-GGA.

a b c (Å): 6.942 6.942 6.942
angles (deg): 25.45 25.45 25.45
Sites, in units of the cell vectors:
Cu 0.000 0.000 0.000
O 0.913 0.913 0.913
O 0.087 0.087 0.087
Br 0.500 0.500 0.500

## Properties
- Electronic total energy: -3.329 eV per atom
- Formation energy (no corrections): 592.4 meV/atom



[10]
Nd3YTh4Se8: relaxed, PBE-GGA.

a b c (Å): 8.290 8.502 8.289
angles (deg): 119.17 120.00 90.00
Sites, in units of the cell vectors:
Se 0.251 0.252 0.501
Nd 0.000 0.500 0.500
Se 0.755 0.256 0.510
Th 0.000 0.000 0.500
Th 0.500 0.000 0.500
Se 0.749 0.748 0.499
Se 0.245 0.744 0.490
Th 0.000 0.000 0.000
Se 0.246 0.256 0.001
Y 0.000 0.500 0.000
Se 0.245 0.744 0.999
Nd 0.500 0.500 0.500
Se 0.754 0.744 0.999
Th 0.500 0.000 0.000
Nd 0.500 0.500 0.000
Se 0.755 0.256 0.001

## Properties
- Electronic total energy: -6.568 eV per atom
- Formation energy (no corrections): -1672.7 meV/atom



[11]
Er4GaIr3: relaxed, PBE-GGA.

a b c (Å): 4.783 7.094 9.566
angles (deg): 90.00 90.00 90.00
Sites, in units of the cell vectors:
Ir 0.000 0.000 0.500
Er 0.500 0.758 0.500
Er 0.500 0.758 0.000
Ir 0.500 0.000 0.250
Er 0.500 0.242 0.500
Ir 0.000 0.000 0.000
Er 0.000 0.758 0.250
Ga 0.000 0.500 0.000
Ga 0.000 0.500 0.500
Ir 0.500 0.500 0.750
Er 0.500 0.242 0.000
Er 0.000 0.758 0.750
Er 0.000 0.242 0.750
Ir 0.500 0.000 0.750
Er 0.000 0.242 0.250
Ir 0.500 0.500 0.250

## Properties
- Electronic total energy: -6.777 eV per atom



[12]
Mn2VBi: relaxed, PBE-GGA.

a b c (Å): 4.051 4.051 9.737
angles (deg): 77.99 77.99 90.00
Sites, in units of the cell vectors:
V 0.250 0.750 0.500
Mn 0.609 0.125 0.250
Bi 0.000 0.000 0.000
Bi 0.750 0.250 0.500
Mn 0.875 0.859 0.750
V 0.500 0.500 0.000
Mn 0.141 0.625 0.250
Mn 0.375 0.391 0.750

## Properties
- Electronic total energy: -7.136 eV per atom